1.
! HfU2S5 | Alexandria via LeMat-Bulk | PBE | relaxed; values from VASP
&SYSTEM
  ibrav = 0, nat = 32, ntyp = 3
/
ATOMIC_SPECIES
Hf 178.49 Hf.upf
U 238.03 U.upf
S 32.06 S.upf
CELL_PARAMETERS angstrom
11.370 0.000 0.000
0.000 7.740 0.000
0.000 0.000 7.236
ATOMIC_POSITIONS angstrom
Hf 0.056 1.935 0.562
Hf 5.629 5.805 4.180
Hf 5.740 1.935 3.056
Hf 11.314 5.805 6.674
U 2.028 7.737 3.875
U 2.028 3.873 3.875
U 3.657 0.003 0.257
U 3.657 3.867 0.257
U 7.712 7.737 6.979
U 7.712 3.873 6.979
U 9.342 0.003 3.361
U 9.342 3.867 3.361
S 0.025 1.935 3.264
S 1.002 4.174 1.223
S 1.002 7.436 1.223
S 2.097 1.935 6.081
S 2.400 5.805 5.911
S 3.285 1.935 2.293
S 3.588 5.805 2.464
S 4.683 0.304 4.841
S 4.683 3.566 4.841
S 5.660 5.805 6.882
S 5.710 1.935 0.354
S 6.687 4.174 2.395
S 6.687 7.436 2.395
S 7.781 1.935 4.772
S 8.085 5.805 4.942
S 8.970 1.935 1.325
S 9.273 5.805 1.154
S 10.368 0.304 6.012
S 10.368 3.566 6.012
S 11.345 5.805 3.972
! Formation energy (no corrections) = -1468 meV/atom
! Excess energy over the best structure of this formula in the dataset = 0 meV/atom
! V = 636.8 Å³ per cell
! Density = 8.50 Mg/m³
! SG = Pnma (62)
! Total DFT energy (no corrections) = -8.11 eV per atom
! M_tot = 5.7 μB/f.u.


2.
! Hf2US6 | Alexandria via LeMat-Bulk | PBE | relaxed; values from VASP
&SYSTEM
  ibrav = 0, nat = 9, ntyp = 3
/
ATOMIC_SPECIES
Hf 178.49 Hf.upf
U 238.03 U.upf
S 32.06 S.upf
CELL_PARAMETERS angstrom
8.677 -1.873 0.000
8.677 1.873 0.000
-2.604 0.000 7.681
ATOMIC_POSITIONS angstrom
Hf 2.063 0.000 2.634
Hf 12.688 0.000 5.047
U 8.677 0.000 0.000
S -0.375 0.000 1.863
S 4.495 0.000 3.354
S 3.555 0.000 6.752
S 11.196 0.000 0.928
S 10.256 0.000 4.327
S 15.125 0.000 5.818
! Formation energy (no corrections) = -1485 meV/atom
! Excess energy over the best structure of this formula in the dataset = 0 meV/atom
! V = 249.6 Å³ per cell
! Density = 5.24 Mg/m³
! SG = C2/m (12)
! Total DFT energy (no corrections) = -7.70 eV per atom
! M_tot = 2.0 μB/f.u.